1.
Material: Ce3Ga2Si3
Method: DFT, PBE
State: relaxed

Unit cell a=4.1370 b=5.8676 c=15.2985 alpha=90.00 beta=90.00 gamma=110.64
Closest atoms and distances in Å follow each position.
Fractional positions:
Ga1 0.8547 0.7094 0.6209  3 Si 2.44-2.51
Ga2 0.1453 0.2906 0.1209  3 Si 2.44-2.51
Ga3 0.8547 0.7094 0.8791  3 Si 2.44-2.51
Ga4 0.1453 0.2906 0.3791  3 Si 2.44-2.51
Ce1 0.5578 0.1157 0.2500  5 Si 2.98-3.26, 4 Ga 3.02
Ce2 0.8576 0.7152 0.0929  7 Si 3.14-3.27, 4 Ga 3.15-3.27
Ce3 0.1424 0.2848 0.5929  7 Si 3.14-3.27, 4 Ga 3.15-3.27
Ce4 0.4422 0.8843 0.7500  5 Si 2.98-3.26, 4 Ga 3.02
Ce5 0.8576 0.7152 0.4071  7 Si 3.14-3.27, 4 Ga 3.15-3.27
Ce6 0.1424 0.2848 0.9071  7 Si 3.14-3.27, 4 Ga 3.15-3.27
Si1 0.7133 0.4266 0.7500  2 Ga 2.51
Si2 0.2867 0.5734 0.2500  2 Ga 2.51
Si3 0.4260 0.8519 0.9461  1 Si 2.32, 2 Ga 2.44
Si4 0.4260 0.8519 0.5539  1 Si 2.32, 2 Ga 2.44
Si5 0.5740 0.1481 0.0539  1 Si 2.32, 2 Ga 2.44
Si6 0.5740 0.1481 0.4461  1 Si 2.32, 2 Ga 2.44

Values from the calculation:
Size of the total moment, μB/f.u.: 1.63
Raw total energy, eV for the cell shown: -89.67
ρ, kg/m³: 6155
Energy relative to the elements, uncorrected, kJ/mol of atoms: -57


2.
Material: HoScCd
Method: DFT, PBE
State: relaxed

Unit cell a=4.9580 b=7.0694 c=9.9874 alpha=90.00 beta=90.00 gamma=90.00
Closest atoms and distances in Å follow each position.
Fractional positions:
Ho1 0.7500 0.4987 0.1340  4 Cd 3.00-3.13
Ho2 0.2500 0.5013 0.8660  4 Cd 3.00-3.13
Ho3 0.2500 0.9987 0.3660  4 Cd 3.00-3.13
Ho4 0.7500 0.0013 0.6340  4 Cd 3.00-3.13
Sc1 0.7500 0.9983 0.1155  4 Cd 2.95-3.16
Sc2 0.7500 0.5017 0.6155  4 Cd 2.95-3.16
Sc3 0.2500 0.4983 0.3845  4 Cd 2.95-3.16
Sc4 0.2500 0.0017 0.8845  4 Cd 2.95-3.16
Cd1 0.7500 0.7472 0.3770  4 Sc 2.95-3.16, 4 Ho 3.00-3.13
Cd2 0.7500 0.7528 0.8770  4 Sc 2.95-3.16, 4 Ho 3.00-3.13
Cd3 0.2500 0.2528 0.6230  4 Sc 2.95-3.16, 4 Ho 3.00-3.13
Cd4 0.2500 0.2472 0.1230  4 Sc 2.95-3.16, 4 Ho 3.00-3.13

Values from the calculation:
Formation energy, eV per atom: 0.133
Size of the total moment, μB/f.u.: 0.00
Raw total energy, eV for the cell shown: -45.70
ρ, kg/m³: 6115
Offset from the most stable computed form, eV per formula unit: 0.924


3.
Material: InIrSe2
Method: DFT, PBE
State: relaxed

Unit cell a=3.1879 b=4.8742 c=4.8742 alpha=90.00 beta=90.00 gamma=90.00
Closest atoms and distances in Å follow each position.
Fractional positions:
Ir1 0.5000 0.0000 0.5000  8 Se 2.91, 2 Ir 3.19
Se1 0.0000 0.5000 0.5000  4 In 2.91, 4 Ir 2.91, 2 Se 3.19
Se2 0.0000 0.0000 0.0000  4 In 2.91, 4 Ir 2.91, 2 Se 3.19
In1 0.5000 0.5000 0.0000  8 Se 2.91, 2 In 3.19

Values from the calculation:
Size of the total moment, μB/f.u.: 0.00
Raw total energy, eV for the cell shown: -16.90
ρ, kg/m³: 10194
Energy relative to the elements, uncorrected, kJ/mol of atoms: 40


4.
Material: YOsC3
Method: DFT, PBE
State: relaxed

Unit cell a=3.9952 b=3.9952 c=3.9952 alpha=90.00 beta=90.00 gamma=90.00
Closest atoms and distances in Å follow each position.
Fractional positions:
C1 0.0000 0.0000 0.5000  2 Os 2.00
C2 0.0000 0.5000 0.0000  2 Os 2.00
C3 0.5000 0.0000 0.0000  2 Os 2.00
Os1 0.0000 0.0000 0.0000  6 C 2.00
Y1 0.5000 0.5000 0.5000  12 C 2.83

Values from the calculation:
Formation energy, eV per atom: 0.952
Size of the total moment, μB/f.u.: 0.00
Raw total energy, eV for the cell shown: -40.61
ρ, kg/m³: 8207
Offset from the most stable computed form, eV per formula unit: 0.000


- Number 4 is which compound?
  YOsC3


- Which formula does entry 3 have?
  InIrSe2


- The highest size of the total moment belongs to which entry?
  Ce3Ga2Si3